No. 1
SCAN Fe3CI, single point on PBEsol structure; ΔE_f (raw) = 0.686 eV per atom; SG = Pm-3m; E_tot = -19.5603 eV per atom
1.0
3.9066 0.0000 0.0000
0.0000 3.9066 0.0000
0.0000 0.0000 3.9066
Fe C I
3 1 1
direct
0.0000 0.0000 0.5000 Fe
0.0000 0.5000 0.0000 Fe
0.5000 0.0000 0.0000 Fe
0.0000 0.0000 0.0000 C
0.5000 0.5000 0.5000 I

=====

No. 2
SCAN KZnCo2, single point on PBEsol structure; SG = Cmmm; E_tot = -13.1088 eV per atom; ΔE_f = 1.004 eV/atom
1.0
5.4897 0.0000 0.0000
0.0000 8.7894 0.0000
0.0000 0.0000 2.5223
K Zn Co
2 2 4
direct
0.0000 0.0000 0.0000 K
0.5000 0.5000 0.0000 K
0.0000 0.5000 0.0000 Zn
0.5000 0.0000 0.0000 Zn
0.2500 0.2500 0.5000 Co
0.2500 0.7500 0.5000 Co
0.7500 0.2500 0.5000 Co
0.7500 0.7500 0.5000 Co

=====

No. 3
SCAN ZnSeBr4, single point on PBEsol structure; ΔE_f (raw) = 0.877 eV per atom; SG = F-43m; E_tot = -17.6953 eV per atom
1.0
0.0000 4.2594 4.2594
4.2594 0.0000 4.2594
4.2594 4.2594 0.0000
Zn Se Br
1 1 4
direct
0.0000 0.0000 0.0000 Zn
0.7500 0.7500 0.7500 Se
0.3751 0.3751 0.3751 Br
0.3751 0.3751 0.8746 Br
0.3751 0.8746 0.3751 Br
0.8746 0.3751 0.3751 Br

=====

No. 4
SCAN SiPH18C6INCl, single point on PBEsol structure; SG = Cc; E_tot = -7.0780 eV per atom
1.0
10.4748 -7.5035 0.0000
10.4748 7.5035 0.0000
-4.7937 0.0000 8.8325
Si P H C I N Cl
4 4 72 24 4 4 4
direct
0.0134 0.3569 0.6866 Si
0.1715 0.8285 0.5000 Si
0.3569 0.0134 0.1866 Si
0.8285 0.1715 0.0000 Si
0.3036 0.5865 0.3495 P
0.5865 0.3036 0.8495 P
0.5985 0.8808 0.1445 P
0.8808 0.5985 0.6445 P
0.0140 0.0624 0.9495 H
0.0245 0.2459 0.4256 H
0.0290 0.8961 0.2839 H
0.0624 0.0140 0.4495 H
0.0655 0.9240 0.6896 H
0.0700 0.4107 0.9665 H
0.1138 0.7733 0.6680 H
0.1195 0.2604 0.8858 H
0.1226 0.1721 0.5585 H
0.1566 0.2909 0.5463 H
0.1610 0.9419 0.3414 H
0.1721 0.1226 0.0585 H
0.1946 0.3616 0.9031 H
0.2129 0.4249 0.2589 H
0.2247 0.8979 0.1475 H
0.2459 0.0245 0.9256 H
0.2460 0.5379 0.0776 H
0.2604 0.1195 0.3858 H
0.2807 0.4652 0.4606 H
0.2873 0.9598 0.7086 H
0.2909 0.1566 0.0463 H
0.3184 0.8129 0.0363 H
0.3395 0.6386 0.1688 H
0.3491 0.8164 0.7171 H
0.3616 0.1946 0.4031 H
0.3671 0.3873 0.3328 H
0.3677 0.8355 0.2373 H
0.3725 0.8664 0.5888 H
0.3873 0.3671 0.8328 H
0.3984 0.4893 0.1591 H
0.4107 0.0700 0.4665 H
0.4249 0.2129 0.7589 H
0.4297 0.6250 0.6026 H
0.4582 0.6916 0.4941 H
0.4652 0.2807 0.9606 H
0.4893 0.3984 0.6591 H
0.4925 0.7269 0.0295 H
0.5019 0.5384 0.4606 H
0.5379 0.2460 0.5776 H
0.5384 0.5019 0.9606 H
0.5446 0.8474 0.8767 H
0.5593 0.7542 0.2325 H
0.6250 0.4297 0.1026 H
0.6386 0.3395 0.6688 H
0.6455 0.6823 0.1044 H
0.6465 0.9396 0.9790 H
0.6823 0.6455 0.6044 H
0.6916 0.4582 0.9941 H
0.6938 0.7869 0.9546 H
0.7211 0.9013 0.3981 H
0.7269 0.4925 0.5295 H
0.7542 0.5593 0.7325 H
0.7614 0.9697 0.3046 H
0.7733 0.1138 0.1680 H
0.7869 0.6938 0.4546 H
0.7976 0.8154 0.2602 H
0.8129 0.3184 0.5363 H
0.8154 0.7976 0.7602 H
0.8164 0.3491 0.2171 H
0.8241 0.9897 0.0303 H
0.8355 0.3677 0.7373 H
0.8474 0.5446 0.3767 H
0.8664 0.3725 0.0888 H
0.8961 0.0290 0.7839 H
0.8979 0.2247 0.6475 H
0.9013 0.7211 0.8981 H
0.9240 0.0655 0.1896 H
0.9396 0.6465 0.4790 H
0.9419 0.1610 0.8414 H
0.9598 0.2873 0.2086 H
0.9697 0.7614 0.8046 H
0.9897 0.8241 0.5303 H
0.0761 0.8380 0.6064 C
0.0858 0.2573 0.5406 C
0.0995 0.9293 0.3827 C
0.1084 0.3468 0.8784 C
0.2573 0.0858 0.0406 C
0.2894 0.4526 0.3501 C
0.3091 0.8697 0.6398 C
0.3148 0.8759 0.1471 C
0.3236 0.5605 0.1714 C
0.3468 0.1084 0.3784 C
0.4357 0.6151 0.4917 C
0.4526 0.2894 0.8501 C
0.5605 0.3236 0.6714 C
0.5691 0.7486 0.1255 C
0.6151 0.4357 0.9917 C
0.6234 0.8621 0.9722 C
0.7331 0.8934 0.2914 C
0.7486 0.5691 0.6255 C
0.8380 0.0761 0.1064 C
0.8621 0.6234 0.4722 C
0.8697 0.3091 0.1398 C
0.8759 0.3148 0.6471 C
0.8934 0.7331 0.7914 C
0.9293 0.0995 0.8827 C
0.0289 0.6400 0.2124 I
0.1558 0.5464 0.7310 I
0.5464 0.1558 0.2310 I
0.6400 0.0289 0.7124 I
0.1935 0.6879 0.3769 N
0.4980 0.9912 0.1830 N
0.6879 0.1935 0.8769 N
0.9912 0.4980 0.6830 N
0.3530 0.6015 0.7912 Cl
0.5846 0.8320 0.5214 Cl
0.6015 0.3530 0.2912 Cl
0.8320 0.5846 0.0214 Cl